A plane-wave DFT calculation with PBE was carried out for Dy4CuNi3 after structural relaxation.

Summary:
The theoretical density comes out at 9.12 g cm⁻³. The formation energy comes out at -0.42 eV/atom.

abc: 5.427 4.242 7.039
angles: 90.00 90.10 90.00
Space group Pm (No. 6)
Asymmetric unit:
1 Dy 0.000 0.000 0.000 (multiplicity 1)
2 Dy 0.228 0.000 0.493 (multiplicity 1)
3 Dy 0.498 0.500 0.142 (multiplicity 1)
4 Dy 0.736 0.500 0.627 (multiplicity 1)
5 Cu 0.489 0.000 0.851 (multiplicity 1)
6 Ni 0.242 0.500 0.780 (multiplicity 1)
7 Ni 0.736 0.000 0.351 (multiplicity 1)
8 Ni 0.994 0.500 0.276 (multiplicity 1)

A plane-wave DFT calculation with PBE was carried out for Dy3Cu2Ni7 after structural relaxation.

Summary:
The theoretical density comes out at 9.75 g cm⁻³. The formation energy comes out at -0.40 eV/atom.

abc: 4.9982 4.9982 24.2296
angles: 90.00 90.00 120.00
Space group R-3m (No. 166, hexagonal axes)
Asymmetric unit:
1 Dy 0.0000 0.0000 0.0000 (multiplicity 3)
2 Dy 0.0000 0.0000 0.1391 (multiplicity 6)
3 Cu 0.0000 0.0000 0.3336 (multiplicity 6)
4 Ni 0.0000 0.0000 0.5000 (multiplicity 3)
5 Ni 0.0017 0.5009 0.9169 (multiplicity 18)

A plane-wave DFT calculation with PBE was carried out for Dy4Cu3Ni after structural relaxation.

Summary:
The theoretical density comes out at 8.94 g cm⁻³. The formation energy comes out at -0.32 eV/atom.

abc: 5.374 4.388 7.084
angles: 90.00 90.08 90.00
Space group Pm (No. 6)
Asymmetric unit:
1 Dy 0.000 0.000 0.000 (multiplicity 1)
2 Dy 0.234 0.000 0.485 (multiplicity 1)
3 Dy 0.498 0.500 0.134 (multiplicity 1)
4 Dy 0.742 0.500 0.625 (multiplicity 1)
5 Cu 0.247 0.500 0.775 (multiplicity 1)
6 Cu 0.492 0.000 0.844 (multiplicity 1)
7 Cu 0.743 0.000 0.346 (multiplicity 1)
8 Ni 0.995 0.500 0.277 (multiplicity 1)

A plane-wave DFT calculation with PBE was carried out for TbDy2Tl3CuNi2 after structural relaxation.

Summary:
The theoretical density comes out at 11.22 g cm⁻³. The electronic total energy comes out at -4.310 eV/atom.

abc: 3.805 13.122 7.574
angles: 90.00 90.00 90.00
Space group Amm2 (No. 38)
Asymmetric unit:
1 Tb 0.000 0.000 0.000 (multiplicity 2)
2 Dy 0.000 0.205 0.616 (multiplicity 4)
3 Tl 0.500 0.000 0.674 (multiplicity 2)
4 Tl 0.500 0.132 0.279 (multiplicity 4)
5 Cu 0.000 0.000 0.411 (multiplicity 2)
6 Ni 0.500 0.167 0.910 (multiplicity 4)

A plane-wave DFT calculation with PBE was carried out for DyNpCu after structural relaxation.

Summary:
The theoretical density comes out at 10.87 g cm⁻³. The energy relative to the lowest polymorph listed for this composition comes out at 0.00 eV/f.u. The formation energy comes out at 0.58 eV/atom.

abc: 6.565 6.565 6.565
angles: 90.00 90.00 90.00
Space group F-43m (No. 216)
Asymmetric unit:
1 Dy 0.000 0.000 0.000 (multiplicity 4)
2 Np 0.000 0.000 0.500 (multiplicity 4)
3 Cu 0.250 0.250 0.250 (multiplicity 4)

A plane-wave DFT calculation with PBE was carried out for DyCuOs after structural relaxation.

Summary:
The theoretical density comes out at 11.29 g cm⁻³. The energy relative to the lowest polymorph listed for this composition comes out at 0.00 eV/f.u. The formation energy comes out at 0.56 eV/atom.

abc: 6.257 6.257 6.257
angles: 90.00 90.00 90.00
Space group F-43m (No. 216)
Asymmetric unit:
1 Dy 0.000 0.000 0.000 (multiplicity 4)
2 Cu 0.000 0.000 0.500 (multiplicity 4)
3 Os 0.250 0.250 0.750 (multiplicity 4)